The following is a GGA-PBE calculation of crystalline Nd3LuPt4 at its relaxed geometry, from OQMD.

```
8
Lattice="5.706 0.000 0.000 0.000 4.619 0.000 0.000 0.000 7.348" Properties=species:S:1:pos:R:3 pbc="T T T"
Nd 0.000 0.000 0.000
Nd 1.256 0.000 3.675
Nd 4.109 2.309 4.668
Lu 2.853 2.309 0.994
Pt 0.071 2.309 2.002
Pt 1.184 2.309 5.676
Pt 2.924 0.000 6.340
Pt 4.038 0.000 2.667
```

## Properties
Magnetic moment ... 0.0 μB per cell
Space-group type ... Pm (6)


The following is a GGA-PBE calculation of crystalline DyTlFe at its relaxed geometry, from OQMD.

```
3
Lattice="0.000 3.293 3.293 3.293 0.000 3.293 3.293 3.293 0.000" Properties=species:S:1:pos:R:3 pbc="T T T"
Dy 0.000 0.000 0.000
Tl 3.293 3.293 3.293
Fe 1.647 1.647 1.647
```

## Properties
Magnetic moment ... 1.7 μB per cell
Space-group type ... F-43m (216)


The following is a GGA-PBE calculation of crystalline TaPdSe3 at its relaxed geometry, from OQMD.

```
10
Lattice="6.834 -1.711 0.000 6.834 1.711 0.000 -6.711 0.000 9.807" Properties=species:S:1:pos:R:3 pbc="T T T"
Ta 0.246 0.000 1.382
Ta 6.710 0.000 8.425
Pd -0.435 0.000 6.142
Pd 7.391 0.000 3.664
Se -1.307 0.000 3.463
Se 2.252 0.000 2.967
Se 5.267 0.000 0.266
Se 1.690 0.000 9.541
Se 4.705 0.000 6.840
Se 8.263 0.000 6.344
```

## Properties
Magnetic moment ... 0.2 μB per cell
Space-group type ... C2/m (12)


The total energy results, record by record, are as follows: -52.40 -14.46 -60.67 eV for the cell shown.